(1)
First-principles (PBE) data for a relaxed structure of ZrSiOs, as listed in OQMD via LeMat-Bulk.

Computed properties:
**Mass density**: 10.26 g cm⁻³
**Size of the total moment**: 0.01 μB per cell
**Energy**: -53.80 eV per cell

a b c (Å): 4.3248 4.3248 6.1827
angles (deg): 90.00 90.00 120.00
With the nearest neighbours (Å) after each atom.
Positions (direct):
Si  0.3333  0.6667  0.4680  4 Os 2.54-2.60
Os  0.3333  0.6667  0.0475  4 Si 2.54-2.60, 3 Zr 2.75
Si  0.6667  0.3333  0.9680  4 Os 2.54-2.60
Zr  0.0000  0.0000  0.2345  3 Os 2.75, 6 Si 2.88-2.99
Zr  0.0000  0.0000  0.7345  3 Os 2.75, 6 Si 2.88-2.99
Os  0.6667  0.3333  0.5475  4 Si 2.54-2.60, 3 Zr 2.75

=====

(2)
First-principles (PBE) data for a relaxed structure of Sm3Os, as listed in OQMD via LeMat-Bulk.

Computed properties:
**Energy relative to the elements**: -162 meV/atom
**Mass density**: 9.40 g cm⁻³
**Size of the total moment**: 0.02 μB per cell
**Energy**: -104.03 eV per cell

a b c (Å): 7.4663 9.4048 6.4515
angles (deg): 90.00 90.00 90.00
With the nearest neighbours (Å) after each atom.
Positions (direct):
Os  0.6151  0.2500  0.0466  6 Sm 2.83-2.98
Sm  0.9591  0.2500  0.8643  2 Os 2.83-2.90
Sm  0.0409  0.7500  0.1357  2 Os 2.83-2.90
Sm  0.6756  0.9353  0.8320  2 Os 2.89-2.98
Sm  0.8244  0.4353  0.3320  2 Os 2.89-2.98
Os  0.8849  0.7500  0.5466  6 Sm 2.83-2.98
Sm  0.5409  0.7500  0.3643  2 Os 2.83-2.90
Sm  0.4591  0.2500  0.6357  2 Os 2.83-2.90
Os  0.3849  0.7500  0.9534  6 Sm 2.83-2.98
Sm  0.6756  0.5647  0.8320  2 Os 2.89-2.98
Sm  0.3244  0.4353  0.1680  2 Os 2.89-2.98
Sm  0.8244  0.0647  0.3320  2 Os 2.89-2.98
Sm  0.1756  0.9353  0.6680  2 Os 2.89-2.98
Sm  0.1756  0.5647  0.6680  2 Os 2.89-2.98
Os  0.1151  0.2500  0.4534  6 Sm 2.83-2.98
Sm  0.3244  0.0647  0.1680  2 Os 2.89-2.98

=====

(3)
First-principles (PBE) data for a relaxed structure of SmOs, as listed in OQMD via LeMat-Bulk.

Computed properties:
**Energy relative to the elements**: 824 meV/atom
**Mass density**: 11.62 g cm⁻³
**Size of the total moment**: 1.00 μB per cell
**Energy**: -14.29 eV per cell

a b c (Å): 4.0979 4.0979 4.0979
angles (deg): 60.00 60.00 60.00
With the nearest neighbours (Å) after each atom.
Positions (direct):
Sm  0.5000  0.5000  0.5000  6 Os 2.90
Os  0.0000  0.0000  0.0000  6 Sm 2.90

=====

(4)
First-principles (PBE) data for a relaxed structure of SmOs, as listed in OQMD via LeMat-Bulk.

Computed properties:
**Energy relative to the elements**: 1594 meV/atom
**Mass density**: 8.92 g cm⁻³
**Size of the total moment**: 1.00 μB per cell
**Energy**: -12.75 eV per cell

a b c (Å): 4.4758 4.4758 4.4758
angles (deg): 60.00 60.00 60.00
With the nearest neighbours (Å) after each atom.
Positions (direct):
Sm  0.2500  0.2500  0.2500  4 Os 2.74
Os  0.0000  0.0000  0.0000  4 Sm 2.74

=====

(5)
First-principles (PBE) data for a relaxed structure of SmOs, as listed in OQMD via LeMat-Bulk.

Computed properties:
**Energy relative to the elements**: 584 meV/atom
**Mass density**: 13.33 g cm⁻³
**Size of the total moment**: 0.00 μB per cell
**Energy**: -14.77 eV per cell

a b c (Å): 3.3098 3.3098 4.4730
angles (deg): 90.00 90.00 120.00
With the nearest neighbours (Å) after each atom.
Positions (direct):
Sm  0.3333  0.6667  0.2500  6 Os 2.94
Os  0.6667  0.3333  0.7500  6 Sm 2.94

=====

(6)
First-principles (PBE) data for a relaxed structure of SrSmOs, as listed in OQMD via LeMat-Bulk.

Computed properties:
**Excess energy over the best structure of this formula in the dataset**: 0.00 kcal/mol of atoms
**Mass density**: 8.29 g cm⁻³
**Size of the total moment**: 0.00 μB per cell
**Energy**: -16.58 eV per cell

a b c (Å): 4.9499 4.9499 4.9499
angles (deg): 60.00 60.00 60.00
With the nearest neighbours (Å) after each atom.
Positions (direct):
Sm  0.2500  0.2500  0.2500  4 Os 3.03
Os  0.0000  0.0000  0.0000  4 Sm 3.03, 4 Sr 3.03
Sr  0.7500  0.7500  0.7500  4 Os 3.03

=====

(7)
First-principles (PBE) data for a relaxed structure of Sm2TaOs, as listed in OQMD via LeMat-Bulk.

Computed properties:
**Energy relative to the elements**: 516 meV/atom
**Mass density**: 12.04 g cm⁻³
**Size of the total moment**: 0.01 μB per cell
**Energy**: -60.87 eV per cell

a b c (Å): 10.1152 10.1152 6.1262
angles (deg): 103.00 103.00 17.67
With the nearest neighbours (Å) after each atom.
Positions (direct):
Sm  0.8445  0.8445  0.0999  3 Os 2.88-3.00, 2 Sm 3.11
Os  0.7483  0.7483  0.6713  2 Os 2.63, 2 Sm 2.76-2.88
Os  0.2517  0.2517  0.3287  2 Os 2.63, 2 Sm 2.76-2.88
Sm  0.1555  0.1555  0.9001  3 Os 2.88-3.00, 2 Sm 3.11
Ta  0.0000  0.0000  0.5000  6 Ta 3.11-3.43, 4 Sm 3.13
Ta  0.5000  0.5000  0.0000  2 Sm 2.94, 2 Ta 3.11
Sm  0.3781  0.3781  0.6260  1 Os 2.76, 1 Ta 2.94
Sm  0.6219  0.6219  0.3740  1 Os 2.76, 1 Ta 2.94

=====

(8)
First-principles (PBE) data for a relaxed structure of TbSmOs, as listed in OQMD via LeMat-Bulk.

Computed properties:
**Energy relative to the elements**: 763 meV/atom
**Mass density**: 10.95 g cm⁻³
**Size of the total moment**: 0.01 μB per cell
**Energy**: -18.28 eV per cell

a b c (Å): 4.7496 4.7496 4.7496
angles (deg): 60.00 60.00 60.00
With the nearest neighbours (Å) after each atom.
Positions (direct):
Sm  0.0000  0.0000  0.0000  4 Tb 2.91, 4 Os 2.91
Tb  0.7500  0.7500  0.7500  4 Sm 2.91
Os  0.2500  0.2500  0.2500  4 Sm 2.91

=====

Question: Which of these has the highest mass density?
Answer: number 5

=====

Question: What is the mass density in the fifth record?
Answer: 13.33 g cm⁻³

=====

Question: The highest energy belongs to which entry?
Answer: number 4

=====

Question: Which value of energy does entry 1 give?
Answer: -53.80 eV per cell